Entry 1:
## Ag2Se (PBE-GGA)

Data for crystalline Ag2Se at its relaxed geometry.

- formation energy without anion corrections (kJ/mol of formula units) = 25
- space-group type = P6_3/mmc (194)
- spin magnetization (μB/cell) = 0.00
- raw total energy (eV/atom) = -2.976

The structure in extended XYZ format:
```
6
Lattice="-2.409 0.980 -3.222 -0.851 -3.351 2.278 -5.024 4.828 5.225" Properties=species:S:1:pos:R:3 pbc="T T T"
Ag -3.962 1.527 0.766
Ag -5.955 2.498 5.212
Ag -4.323 0.929 3.514
Ag -2.330 -0.041 -0.931
Se -1.256 1.207 1.306
Se -3.768 3.621 3.919
```

=====

Entry 2:
## Sr2Bi2I (PBE-GGA)

Data for crystalline Sr2Bi2I at its relaxed geometry.

- formation energy without anion corrections (kJ/mol of formula units) = -352
- space-group type = P4/mbm (127)
- spin magnetization (μB/cell) = 0.00
- raw total energy (eV/atom) = -3.265

The structure in extended XYZ format:
```
10
Lattice="9.461 0.000 0.000 0.000 9.461 0.000 0.000 0.000 4.334" Properties=species:S:1:pos:R:3 pbc="T T T"
I 0.000 0.000 0.000
I 4.730 4.730 0.000
Sr 1.710 6.440 2.167
Sr 6.440 7.751 2.167
Sr 7.751 3.020 2.167
Sr 3.020 1.710 2.167
Bi 3.688 8.419 0.000
Bi 8.419 5.772 0.000
Bi 5.772 1.042 0.000
Bi 1.042 3.688 0.000
```